No. 1
NdZn2 | PBE | relaxed

Unit cell a=3.3562 b=3.3562 c=6.1532 alpha=105.74 beta=105.74 gamma=89.98
Last column: nearest neighbours and their distance in Å.
Positions (direct):
Nd  0.0000  0.0000  0.0000  10 Zn 3.21-3.53, 4 Nd 3.36
Zn  0.3108  0.3108  0.6205  4 Zn 2.73-2.75
Zn  0.6892  0.6892  0.3795  4 Zn 2.73-2.75

Summary:
SG	C2/m
ΔE_f	-0.525	eV/f.u.
crystal system	monoclinic

No. 2
Na2MgBe | PBE | relaxed

Unit cell a=6.8063 b=6.8063 c=6.8063 alpha=98.75 beta=98.75 gamma=134.08
Last column: nearest neighbours and their distance in Å.
Positions (direct):
Na  0.0488  0.6250  0.9238  2 Be 2.78, 2 Na 2.98
Na  0.3750  0.2988  0.4238  2 Be 2.78, 2 Na 2.98
Na  0.7012  0.1250  0.0762  2 Be 2.78, 2 Na 2.98
Na  0.8750  0.9512  0.5762  2 Be 2.78, 2 Na 2.98
Mg  0.2500  0.7500  0.5000  2 Be 2.66
Mg  0.5000  0.5000  0.0000  2 Be 2.66
Be  0.0000  0.0000  0.0000  2 Mg 2.66, 4 Na 2.78
Be  0.7500  0.2500  0.5000  2 Mg 2.66, 4 Na 2.78

Summary:
SG	I-42d
ΔE_f	2.316	eV/f.u.
relative energy among the computed polymorphs	4	meV/atom
crystal system	tetragonal

No. 3
Y3SbI | PBE | relaxed

Unit cell a=5.7623 b=5.7623 c=5.7623 alpha=90.00 beta=90.00 gamma=90.00
Last column: nearest neighbours and their distance in Å.
Positions (direct):
Y  0.0000  0.0000  0.5000  2 Sb 2.88
Y  0.0000  0.5000  0.0000  2 Sb 2.88
Y  0.5000  0.0000  0.0000  2 Sb 2.88
Sb  0.0000  0.0000  0.0000  6 Y 2.88
I  0.5000  0.5000  0.5000  12 Y 4.07

Summary:
energy relative to the elements, uncorrected	-0.006	eV/atom
SG	Pm-3m
relative energy among the computed polymorphs	0	meV/atom
crystal system	cubic

No. 4
CsTlCdCl4 | PBE | relaxed

Unit cell a=7.7037 b=7.5485 c=9.4936 alpha=90.00 beta=108.53 gamma=90.00
Last column: nearest neighbours and their distance in Å.
Positions (direct):
Cs  0.2323  0.2500  0.4428  6 Cl 3.45-3.67
Cs  0.7677  0.7500  0.5572  6 Cl 3.45-3.67
Tl  0.2892  0.2500  0.9556  6 Cl 3.19-3.49
Tl  0.7108  0.7500  0.0444  6 Cl 3.19-3.49
Cd  0.2573  0.7500  0.1819  4 Cl 2.48-2.51
Cd  0.7427  0.2500  0.8181  4 Cl 2.48-2.51
Cl  0.0508  0.7500  0.9216  1 Cd 2.48
Cl  0.0763  0.7500  0.3574  1 Cd 2.49
Cl  0.4804  0.0028  0.2371  1 Cd 2.51
Cl  0.4804  0.4972  0.2371  1 Cd 2.51
Cl  0.5196  0.5028  0.7629  1 Cd 2.51
Cl  0.5196  0.9972  0.7629  1 Cd 2.51
Cl  0.9237  0.2500  0.6426  1 Cd 2.49
Cl  0.9492  0.2500  0.0784  1 Cd 2.48

Summary:
energy relative to the elements, uncorrected	-1.344	eV/atom
SG	P2_1/m
crystal system	monoclinic

No. 5
NiPtAu2 | PBE | relaxed

Unit cell a=2.8390 b=3.9095 c=5.6906 alpha=90.00 beta=90.00 gamma=90.00
Last column: nearest neighbours and their distance in Å.
Positions (direct):
Ni  0.0000  0.0000  0.0000  8 Au 2.77, 2 Ni 2.84, 2 Pt 2.85
Pt  0.0000  0.0000  0.5000  8 Au 2.83, 2 Pt 2.84, 2 Ni 2.85
Au  0.5000  0.5000  0.2399  4 Au 2.73-2.96, 4 Ni 2.77, 4 Pt 2.83
Au  0.5000  0.5000  0.7601  4 Au 2.73-2.96, 4 Ni 2.77, 4 Pt 2.83

Summary:
SG	Pmmm
ΔE_f	0.428	eV/f.u.
relative energy among the computed polymorphs	89	meV/atom
crystal system	orthorhombic

No. 6
Pm3YTm3 | PBE | relaxed

Unit cell a=14.7936 b=14.7936 c=14.7936 alpha=24.11 beta=24.11 gamma=24.11
Last column: nearest neighbours and their distance in Å.
Positions (direct):
Pm  0.1313  0.4617  0.8001  3 Tm 3.50-3.51, 9 Pm 3.54-3.70
Pm  0.1999  0.8687  0.5383  3 Tm 3.50-3.51, 9 Pm 3.54-3.70
Pm  0.4617  0.8001  0.1313  3 Tm 3.50-3.51, 9 Pm 3.54-3.70
Pm  0.5383  0.1999  0.8687  3 Tm 3.50-3.51, 9 Pm 3.54-3.70
Pm  0.8001  0.1313  0.4617  3 Tm 3.50-3.51, 9 Pm 3.54-3.70
Pm  0.8687  0.5383  0.1999  3 Tm 3.50-3.51, 9 Pm 3.54-3.70
Y  0.3333  0.3333  0.3333  6 Tm 3.48, 3 Y 3.57
Y  0.6667  0.6667  0.6667  6 Tm 3.48, 3 Y 3.57
Tm  0.0651  0.7316  0.3990  2 Y 3.48, 3 Pm 3.50-3.51, 6 Tm 3.57
Tm  0.2684  0.6010  0.9349  2 Y 3.48, 3 Pm 3.50-3.51, 6 Tm 3.57
Tm  0.3990  0.0651  0.7316  2 Y 3.48, 3 Pm 3.50-3.51, 6 Tm 3.57
Tm  0.6010  0.9349  0.2684  2 Y 3.48, 3 Pm 3.50-3.51, 6 Tm 3.57
Tm  0.7316  0.3990  0.0651  2 Y 3.48, 3 Pm 3.50-3.51, 6 Tm 3.57
Tm  0.9349  0.2684  0.6010  2 Y 3.48, 3 Pm 3.50-3.51, 6 Tm 3.57

Summary:
SG	R-3
ΔE_f	1.191	eV/f.u.
relative energy among the computed polymorphs	154	meV/atom
crystal system	trigonal

The calculation returns the following calculated total energy values, one per record and in order: -7.84, -11.29, -25.10, -41.86, -17.95, -65.88 eV for the cell shown.